Entry 1:
8
Lattice="-0.262 -4.137 -1.128 4.987 -1.739 5.219 -6.835 -0.356 2.892" Properties=species:S:1:pos:R:3 comment="La2NdPuAs4 PBE relaxed" e_tot_ev_per_atom=-7.343 formation_enthalpy_0k_mev_per_atom=-1399 pbc="T T T"
La -3.548 -2.246 0.882
La -0.924 -1.048 4.055
Nd 2.363 -2.938 2.045
Pu 0.000 0.000 0.000
As -0.554 -2.572 1.379
As -1.556 -3.660 5.603
As -3.947 -0.700 3.484
As 2.100 -1.395 4.626

=====

Entry 2:
12
Lattice="4.306 0.000 0.000 0.000 8.602 0.304 -2.153 -2.480 9.038" Properties=species:S:1:pos:R:3 comment="La3Nd2PuAs6 PBE relaxed" e_tot_ev_per_atom=-6.991 formation_enthalpy_0k_mev_per_atom=-1446 pbc="T T T"
La 2.153 4.301 0.152
La 2.153 -0.217 6.060
La 0.000 6.338 3.282
Nd 2.153 4.076 6.226
Nd 0.000 2.046 3.115
Pu 2.153 0.000 0.000
As 0.000 6.205 6.377
As 2.153 4.170 3.205
As 2.153 -0.083 2.965
As 0.000 2.050 0.084
As 2.153 4.071 9.258
As 0.000 1.951 6.137

=====

Entry 3:
8
Lattice="4.271 0.000 0.000 0.000 7.383 -0.147 0.000 2.598 6.913" Properties=species:S:1:pos:R:3 comment="LaNd2PuAs4 PBE relaxed" e_tot_ev_per_atom=-7.308 formation_enthalpy_0k_mev_per_atom=-1384 pbc="T T T"
La 0.000 4.991 3.383
Nd 0.000 2.598 6.913
Nd 2.135 1.299 3.456
Pu 2.135 3.692 -0.073
As 0.000 7.464 5.140
As 4.271 2.517 1.626
As 2.135 6.163 1.572
As 2.135 3.819 5.194

=====

Entry 4:
18
Lattice="0.114 0.574 6.847 -5.085 -4.463 1.203 4.041 -5.442 1.133" Properties=species:S:1:pos:R:3 comment="La2NdAs3Rh12 PBE relaxed" e_tot_ev_per_atom=-6.788 formation_enthalpy_0k_mev_per_atom=-299 pbc="T T T"
La -0.591 -5.925 5.832
La -0.339 -3.405 3.352
Nd 0.000 0.000 0.000
As 0.057 0.287 3.424
As -2.543 -2.231 0.602
As 2.020 -2.721 0.567
Rh 1.792 -6.370 4.034
Rh -2.703 -4.955 6.913
Rh -0.810 -7.855 4.159
Rh -0.287 -3.185 7.059
Rh 1.696 -5.427 6.879
Rh -3.041 -5.852 4.071
Rh -2.722 -2.961 5.150
Rh 1.773 -4.375 2.271
Rh -0.120 -1.476 5.025
Rh -0.643 -6.146 2.124
Rh -2.626 -3.904 2.305
Rh 2.110 -3.479 5.113

=====

Entry 5:
4
Lattice="4.234 0.000 0.000 2.117 3.666 0.000 2.117 1.222 6.871" Properties=species:S:1:pos:R:3 comment="LaNdAsS PBE relaxed" e_tot_ev_per_atom=-6.464 raw_formation_energy_ev_per_atom=-1.846 pbc="T T T"
La 6.350 3.666 6.321
Nd 2.117 1.222 2.853
As 4.234 2.444 4.558
S 6.350 3.666 1.183

=====

Entry 6:
8
Lattice="-1.099 0.322 4.115 -4.296 -5.978 -0.679 3.953 -6.059 1.531" Properties=species:S:1:pos:R:3 comment="LaNdSm2As4 PBE relaxed" e_tot_ev_per_atom=-6.250 formation_enthalpy_0k_mev_per_atom=-1533 pbc="T T T"
La -0.172 -6.019 0.426
Nd -2.698 -2.828 1.718
Sm 3.953 -6.059 1.531
Sm 1.427 -2.868 2.823
As -0.277 -9.058 0.636
As -1.166 -2.658 4.331
As -2.826 -5.851 1.921
As 1.383 -5.864 3.046

=====

Entry 7:
12
Lattice="-2.902 -1.700 2.706 0.128 -7.368 -4.491 8.191 -0.422 5.078" Properties=species:S:1:pos:R:3 comment="La3Nd2SmAs6 PBE relaxed" e_tot_ev_per_atom=-6.289 formation_enthalpy_0k_mev_per_atom=-1544 pbc="T T T"
La -1.387 -4.534 -0.893
La 3.062 -2.923 4.892
La 2.355 -6.566 -1.599
Nd 3.132 -6.614 2.648
Nd 2.284 -2.875 0.644
Sm -1.451 -0.850 1.353
As 4.635 -7.594 0.202
As 0.882 -5.557 0.899
As 0.781 -1.896 3.091
As 0.041 -1.809 -1.092
As 5.376 -7.681 4.385
As 4.534 -3.932 2.394

=====

Entry 8:
8
Lattice="-0.769 0.126 -4.304 -6.916 -2.804 1.154 -4.918 5.708 1.047" Properties=species:S:1:pos:R:3 comment="SrLa2NdAs4 PBE relaxed" e_tot_ev_per_atom=-5.730 formation_enthalpy_0k_mev_per_atom=-1367 pbc="T T T"
Sr -8.761 4.370 -0.528
La -4.918 5.708 1.047
La -2.844 2.917 -1.629
Nd -5.917 1.452 1.100
As -8.873 2.104 1.648
As -3.731 0.926 -3.751
As -6.835 -0.577 -1.017
As -5.769 3.608 -1.085

=====

Which formula does entry 5 have?
LaNdAsS